No. 1
A plane-wave DFT calculation with PBE was carried out for a geometry-optimized CsCuTe3Ir structure.

Geometry as extended XYZ:
```
24
Lattice="-15.2921 6.4672 2.0605 -1.2378 -3.5096 1.8294 2.9574 3.9444 9.5684" Properties=species:S:1:pos:R:3 pbc="T T T"
Cs -12.4679 2.4868 3.3851
Cs -3.6150 0.8627 6.2593
Cs -9.9575 6.0393 7.1990
Cs -1.1047 4.4152 10.0732
Cu -15.2784 5.8444 3.2250
Cu -6.5991 3.9889 5.5376
Cu -6.9734 2.9132 7.9207
Cu 1.7059 1.0576 10.2333
Ir -7.8690 1.1396 3.9120
Ir -14.9887 5.0752 6.6452
Ir 1.4162 1.8269 6.8131
Ir -5.7035 5.7625 9.5462
Te -8.8294 3.1004 2.3240
Te -1.7709 -1.5668 2.8460
Te -5.6039 2.5834 3.5147
Te -13.1623 5.9340 4.8287
Te -8.7456 2.5623 6.0484
Te -0.1311 1.2701 4.6981
Te -13.4414 5.6319 8.7602
Te -4.8269 4.3397 7.4099
Te -0.4102 0.9680 8.6296
Te -7.9686 4.3186 9.9436
Te -11.8016 8.4688 10.6123
Te -4.7431 3.8016 11.1343
```

Computed properties:
Size of the total moment, μB/f.u.: 0.00



No. 2
A plane-wave DFT calculation with PBE was carried out for a geometry-optimized CsCuTe3Ir structure.

Geometry as extended XYZ:
```
12
Lattice="-6.9392 1.9600 4.9753 -4.0683 1.1016 7.6801 2.9403 10.1528 0.1012" Properties=species:S:1:pos:R:3 pbc="T T T"
Cs -7.6056 4.8581 9.6146
Cs -0.4617 8.3564 3.1420
Cu -4.3334 3.9479 5.8525
Cu -3.7339 9.2665 6.9042
Ir 0.0000 0.0000 0.0000
Ir 1.4701 5.0764 0.0506
Te -4.2717 1.5402 5.0229
Te 0.1076 2.7127 0.7468
Te -2.9903 5.9649 5.0670
Te -5.0770 7.2495 7.6896
Te -8.1748 10.5017 12.0099
Te -3.7956 11.6742 7.7337
```

Computed properties:
Size of the total moment, μB/f.u.: 0.00



No. 3
A plane-wave DFT calculation with PBE was carried out for a geometry-optimized CsCuTe3Ir structure.

Geometry as extended XYZ:
```
12
Lattice="9.3769 0.0000 0.0000 0.0000 4.1516 0.0000 -4.6151 0.0000 9.6204" Properties=species:S:1:pos:R:3 pbc="T T T"
Cs 5.7227 1.0379 2.5856
Cs -0.9609 3.1137 7.0347
Cu 2.1186 3.1137 4.0232
Cu 2.6431 1.0379 5.5972
Ir 0.9767 1.0379 1.4457
Ir 3.7850 3.1137 8.1747
Te 8.6480 3.1137 1.2121
Te 2.7270 3.1137 1.4516
Te 0.4963 1.0379 4.1228
Te 4.2655 3.1137 5.4976
Te 2.0347 1.0379 8.1688
Te -3.8862 1.0379 8.4083
```

Computed properties:
Size of the total moment, μB/f.u.: 0.00



No. 4
A plane-wave DFT calculation with PBE was carried out for a geometry-optimized CsKCu structure.

Geometry as extended XYZ:
```
3
Lattice="1.8077 1.7811 5.6077 -4.1431 2.0595 4.0595 -1.4400 -3.4025 4.9230" Properties=species:S:1:pos:R:3 pbc="T T T"
Cs -0.9439 0.1095 3.6475
Cu 0.0000 0.0000 0.0000
K -2.8315 0.3286 10.9426
```



No. 5
A plane-wave DFT calculation with PBE was carried out for a geometry-optimized Cs3KCu structure.

Geometry as extended XYZ:
```
10
Lattice="7.2885 0.0000 0.0000 3.6435 8.1681 0.0000 3.6269 -1.5340 13.0446" Properties=species:S:1:pos:R:3 pbc="T T T"
Cs 5.6067 4.1646 1.3147
Cs 9.2436 5.8688 4.5309
Cs 9.2289 -0.5120 7.8251
Cs 9.2229 4.2034 9.4329
Cs 5.5836 1.0776 11.2182
Cs 12.8713 6.0069 12.9288
Cu 9.2524 4.1785 1.4151
Cu 9.2276 0.9977 11.0752
K 1.9632 1.2016 3.0498
K 5.5886 2.5747 6.0741
```



No. 6
A plane-wave DFT calculation with PBE was carried out for a geometry-optimized CsKCu structure.

Geometry as extended XYZ:
```
3
Lattice="0.0000 4.2834 4.2834 4.2834 0.0000 4.2834 4.2834 4.2834 0.0000" Properties=species:S:1:pos:R:3 pbc="T T T"
Cs 0.0000 0.0000 0.0000
Cu 2.1417 2.1417 2.1417
K 6.4251 6.4251 6.4251
```



no.,final energy (eV/atom)
1,-4.2180
2,-4.1250
3,-4.2175
4,-1.5311
5,-1.2912
6,-1.3015